Entry 1:
This record from the Alexandria database describes a geometry-optimized Na2SbTe4As structure. The functional is PBE.

Computed properties:
**Magnetization**: 0.000 μB/atom
**Formation energy (no corrections)**: -0.40 eV per atom
**Density**: 5.05 Mg/m³

Unit cell a=4.3281 b=7.5172 c=8.0031 alpha=108.17 beta=90.00 gamma=90.00
Last column: nearest neighbours and their distance in Å.
Fractional positions:
Te  0.5000  0.7443  0.7745  1 As 2.95, 2 Sb 3.08, 2 Na 3.22
Na  0.0000  0.5000  0.5000  6 Te 3.22
As  0.5000  0.5000  0.0000  6 Te 2.95-2.96
Te  0.0000  0.2743  0.7828  2 As 2.96, 1 Sb 3.08, 1 Na 3.22
Sb  0.0000  0.0000  0.0000  6 Te 3.08
Te  0.5000  0.2557  0.2255  1 As 2.95, 2 Sb 3.08, 2 Na 3.22
Te  0.0000  0.7257  0.2172  2 As 2.96, 1 Sb 3.08, 1 Na 3.22
Na  0.5000  0.0000  0.5000  6 Te 3.34

=====

Entry 2:
This record from the Alexandria database describes a geometry-optimized Na4Sb3Te8As structure. The functional is PBE.

Computed properties:
**Magnetization**: 0.000 μB/atom
**Formation energy (no corrections)**: -0.42 eV per atom
**Density**: 5.09 Mg/m³

Unit cell a=8.7663 b=9.1467 c=8.7660 alpha=118.65 beta=120.00 gamma=90.00
Last column: nearest neighbours and their distance in Å.
Fractional positions:
Te  0.2342  0.7235  0.9894  1 As 2.96, 2 Sb 3.10, 2 Na 3.25
Na  0.5000  0.0000  0.0000  6 Te 3.37-3.38
Na  0.5000  0.0000  0.5000  6 Te 3.25
Te  0.2558  0.2676  0.5117  3 Sb 3.09, 3 Na 3.25
Sb  0.0000  0.5000  0.5000  6 Te 3.09-3.10
Te  0.2448  0.2765  0.0106  1 As 2.96, 2 Sb 3.10, 2 Na 3.25
Te  0.7442  0.7324  0.4883  3 Sb 3.09, 3 Na 3.25
Na  0.0000  0.0000  0.5000  6 Te 3.25
Sb  0.5000  0.5000  0.0000  6 Te 3.09-3.10
Na  0.0000  0.0000  0.0000  6 Te 3.25
Te  0.7552  0.7235  0.9894  1 As 2.96, 2 Sb 3.10, 2 Na 3.25
Te  0.7658  0.2764  0.5315  1 As 2.96, 2 Sb 3.10, 2 Na 3.25
As  0.0000  0.5000  0.0000  6 Te 2.96
Te  0.7658  0.2765  0.0106  1 As 2.96, 2 Sb 3.10, 2 Na 3.25
Sb  0.5000  0.5000  0.5000  6 Te 3.09-3.10
Te  0.2342  0.7236  0.4685  1 As 2.96, 2 Sb 3.10, 2 Na 3.25

=====

Entry 3:
This record from the Alexandria database describes a geometry-optimized NaSbTe2As structure. The functional is PBE.

Computed properties:
**Magnetization**: 0.000 μB/atom
**Formation energy (no corrections)**: 0.91 eV per atom
**ΔE to the lowest computed polymorph**: 0.746 eV per atom
**Density**: 5.03 Mg/m³

Unit cell a=5.4161 b=5.4161 c=5.3449 alpha=90.00 beta=90.00 gamma=90.00
Last column: nearest neighbours and their distance in Å.
Fractional positions:
Te  0.5000  0.0000  0.0000  2 Na 2.71
Na  0.0000  0.0000  0.0000  2 Sb 2.67, 4 Te 2.71
Te  0.0000  0.5000  0.0000  2 Na 2.71
As  0.5000  0.5000  0.5000  8 Te 3.80, 4 Sb 3.83
Sb  0.0000  0.0000  0.5000  2 Na 2.67

=====

Entry 4:
This record from the Alexandria database describes a geometry-optimized Na2TlSbAs structure. The functional is PBE.

Computed properties:
**Magnetization**: 0.000 μB/atom
**Formation energy (no corrections)**: 0.14 eV per atom
**Density**: 4.15 Mg/m³

Unit cell a=5.7387 b=5.4353 c=5.7387 alpha=90.00 beta=90.00 gamma=90.00
Last column: nearest neighbours and their distance in Å.
Fractional positions:
As  0.0000  0.5000  0.0000  2 Sb 2.72
Sb  0.0000  0.0000  0.0000  2 As 2.72, 4 Na 2.87
Na  0.0000  0.0000  0.5000  2 Sb 2.87
Tl  0.5000  0.5000  0.5000  8 Na 3.95, 4 As 4.06
Na  0.5000  0.0000  0.0000  2 Sb 2.87

=====

Entry 5:
This record from the Alexandria database describes a geometry-optimized NaV2SbAs structure. The functional is PBE.

Computed properties:
**Magnetization**: 1.001 μB/atom
**Formation energy (no corrections)**: 0.33 eV per atom
**Density**: 4.62 Mg/m³

Unit cell a=4.7789 b=5.0584 c=4.7789 alpha=90.00 beta=90.00 gamma=90.00
Last column: nearest neighbours and their distance in Å.
Fractional positions:
V  0.0000  0.0000  0.5000  2 As 2.39
V  0.5000  0.0000  0.0000  2 As 2.39
Na  0.0000  0.5000  0.0000  2 As 2.53
As  0.0000  0.0000  0.0000  4 V 2.39, 2 Na 2.53
Sb  0.5000  0.5000  0.5000  4 Na 3.38, 8 V 3.48

=====

Entry 6:
This record from the Alexandria database describes a geometry-optimized NaSc2As structure. The functional is PBE.

Computed properties:
**Magnetization**: 0.000 μB/atom
**E**: -4.804 eV/atom
**Density**: 3.07 Mg/m³

Unit cell a=8.0347 b=8.0347 c=6.4941 alpha=51.79 beta=51.79 gamma=90.00
Last column: nearest neighbours and their distance in Å.
Fractional positions:
As  0.0000  0.0000  0.0000  4 Sc 2.65
Na  0.2500  0.7500  0.5000  2 As 3.15, 8 Sc 3.28-3.46
Sc  0.0673  0.6250  0.2500  2 As 2.65
Sc  0.8750  0.9327  0.7500  2 As 2.65
Sc  0.3750  0.3173  0.7500  2 As 2.65
Sc  0.6827  0.1250  0.2500  2 As 2.65
As  0.7500  0.2500  0.5000  4 Sc 2.65
Na  0.5000  0.5000  0.0000  2 As 3.15, 8 Sc 3.28-3.46